# 1
VASP calculation (SCAN) on LuGaCoO4 at its PBEsol-relaxed geometry.

The space group is R3m (No. 160, hexagonal axes) and the conventional cell measures 3.3634, 3.3634 and 24.9665 Å, with angles of 90.00, 90.00 and 120.00 degrees. The inequivalent atoms are Lu at (0.0000, 0.0000, 0.0000), Ga at (0.0000, 0.0000, 0.7857), Co at (0.0000, 0.0000, 0.2154), O at (0.0000, 0.0000, 0.1215), O at (0.0000, 0.0000, 0.2933), O at (0.0000, 0.0000, 0.7091) and O at (0.0000, 0.0000, 0.8636).

Its uncorrected formation energy is -2.51 eV/atom. The value obtained for the density is 7.49 Mg/m³.

# 2
VASP calculation (SCAN) on CaZnRh at its PBEsol-relaxed geometry.

The space group is F-43m (No. 216) and the conventional cell measures 6.339, 6.339 and 6.339 Å, with angles of 90.00, 90.00 and 90.00 degrees. The inequivalent atoms are Ca at (0.000, 0.000, 0.000), Zn at (0.250, 0.250, 0.250) and Rh at (0.250, 0.250, 0.750).

The value obtained for the formation energy is 495 meV per atom. The value obtained for the density is 5.43 Mg/m³.

# 3
VASP calculation (SCAN) on MgTe2P at its PBEsol-relaxed geometry.

The space group is Cmmm (No. 65) and the conventional cell measures 3.939, 6.951 and 7.725 Å, with angles of 90.00, 90.00 and 90.00 degrees. The inequivalent atoms are Mg at (0.000, 0.000, 0.000), Te at (0.000, 0.500, 0.264) and P at (0.000, 0.000, 0.500).

Its uncorrected formation energy is 0.18 eV/atom. The value obtained for the relative energy among the computed polymorphs is 250 meV/atom. The value obtained for the density is 4.87 Mg/m³.

# 4
VASP calculation (SCAN) on Ba2ZnAu at its PBEsol-relaxed geometry.

The space group is Amm2 (No. 38) and the conventional cell measures 4.679, 4.666 and 12.074 Å, with angles of 90.00, 90.00 and 90.00 degrees. The inequivalent atoms are Ba at (0.000, 0.000, 0.000), Ba at (0.500, 0.000, 0.285), Zn at (0.000, 0.000, 0.700) and Au at (0.500, 0.000, 0.586).

The value obtained for the formation energy is -533 meV per atom. The value obtained for the density is 6.77 Mg/m³.

# 5
VASP calculation (SCAN) on Rb2NaScI6 at its PBEsol-relaxed geometry.

The space group is Fm-3m (No. 225) and the conventional cell measures 11.794, 11.794 and 11.794 Å, with angles of 90.00, 90.00 and 90.00 degrees. The inequivalent atoms are Rb at (0.250, 0.250, 0.250), Na at (0.000, 0.000, 0.000), Sc at (0.000, 0.000, 0.500) and I at (0.000, 0.000, 0.259).

Its uncorrected formation energy is -1.48 eV/atom. The value obtained for the density is 4.05 Mg/m³.

# 6
VASP calculation (SCAN) on SrZn2ReBr at its PBEsol-relaxed geometry.

The space group is P4/mmm (No. 123) and the conventional cell measures 5.888, 5.888 and 5.662 Å, with angles of 90.00, 90.00 and 90.00 degrees. The inequivalent atoms are Sr at (0.000, 0.000, 0.000), Zn at (0.000, 0.500, 0.000), Re at (0.000, 0.000, 0.500) and Br at (0.500, 0.500, 0.500).

Its uncorrected formation energy is 1.67 eV/atom. The value obtained for the density is 4.10 Mg/m³.

# 7
VASP calculation (SCAN) on SrSbSe at its PBEsol-relaxed geometry.

The space group is I4mm (No. 107) and the conventional cell measures 4.158, 4.158 and 10.735 Å, with angles of 90.00, 90.00 and 90.00 degrees. The inequivalent atoms are Sr at (0.000, 0.000, 0.000), Sb at (0.000, 0.000, 0.336) and Se at (0.000, 0.000, 0.583).

Its uncorrected formation energy is -0.97 eV/atom. The value obtained for the density is 5.16 Mg/m³.

# 8
VASP calculation (SCAN) on CuBO2 at its PBEsol-relaxed geometry.

The space group is R-3m (No. 166, hexagonal axes) and the conventional cell measures 3.3057, 3.3057 and 14.1943 Å, with angles of 90.00, 90.00 and 120.00 degrees. The inequivalent atoms are Cu at (0.0000, 0.0000, 0.0000), B at (0.0000, 0.0000, 0.5000) and O at (0.0000, 0.0000, 0.4099).

Its uncorrected formation energy is -1.29 eV/atom. The value obtained for the density is 3.94 Mg/m³.

Which formula does entry 1 have? LuGaCoO4